A plane-wave DFT calculation with PBE-GGA was carried out for TaW2Br after structural relaxation.

Output
Polymorph energy (0 for the lowest one) ... 0 meV per atom

Cell lengths 9.1106, 9.1106, 9.1106 Å; angles 19.72, 19.72, 19.72 degrees
Closest atoms and distances in Å follow each position.
Atoms (fractional coordinates):
1 Br 0.4906 0.4906 0.4906  3 Ta 2.69
2 W 0.9978 0.9978 0.9978  3 W 2.58
3 W 0.2623 0.2623 0.2623  3 W 2.58
4 Ta 0.7492 0.7492 0.7492  3 Br 2.69, 3 W 2.90

A plane-wave DFT calculation with PBE-GGA was carried out for Ta3WBr after structural relaxation.

Output
Polymorph energy (0 for the lowest one) ... 0 meV per atom

Cell lengths 4.9521, 4.9521, 4.9521 Å; angles 90.00, 90.00, 90.00 degrees
Closest atoms and distances in Å follow each position.
Atoms (fractional coordinates):
1 Br 0.5000 0.5000 0.5000  12 Ta 3.50
2 W 0.0000 0.0000 0.0000  6 Ta 2.48
3 Ta 0.0000 0.5000 0.0000  2 W 2.48
4 Ta 0.0000 0.0000 0.5000  2 W 2.48
5 Ta 0.5000 0.0000 0.0000  2 W 2.48

A plane-wave DFT calculation with PBE-GGA was carried out for TaW2Br after structural relaxation.

Output
Polymorph energy (0 for the lowest one) ... 13 meV per atom

Cell lengths 2.9383, 2.9383, 9.7720 Å; angles 90.00, 90.00, 113.38 degrees
Closest atoms and distances in Å follow each position.
Atoms (fractional coordinates):
1 Br 0.0000 0.0000 0.5432  2 Ta 2.68, 4 Br 2.94
2 W 0.0000 0.0000 0.9942  2 W 2.58, 2 Ta 2.79
3 W 0.5000 0.5000 0.2008  2 W 2.58
4 Ta 0.5000 0.5000 0.7618  2 Br 2.68, 2 W 2.79, 4 Ta 2.94

A plane-wave DFT calculation with PBE-GGA was carried out for TaW2Br after structural relaxation.

Output
Polymorph energy (0 for the lowest one) ... 148 meV per atom

Cell lengths 2.9457, 2.9457, 9.1089 Å; angles 90.00, 90.00, 114.17 degrees
Closest atoms and distances in Å follow each position.
Atoms (fractional coordinates):
1 Br 0.5000 0.5000 0.2500  4 W 2.88, 6 Br 2.95-3.20
2 W 0.0000 0.0000 0.9877  2 Ta 2.69, 2 Br 2.88, 4 W 2.95
3 W 0.0000 0.0000 0.5123  2 Ta 2.69, 2 Br 2.88, 4 W 2.95
4 Ta 0.5000 0.5000 0.7500  4 W 2.69, 4 Ta 2.95

A plane-wave DFT calculation with PBE-GGA was carried out for TaW2Br after structural relaxation.

Output
Polymorph energy (0 for the lowest one) ... 597 meV per atom

Cell lengths 4.6899, 4.6899, 4.6899 Å; angles 122.77, 122.77, 85.27 degrees
Closest atoms and distances in Å follow each position.
Atoms (fractional coordinates):
1 Br 0.5000 0.5000 0.0000  4 Ta 2.83, 4 W 2.83
2 W 0.0000 0.0000 0.0000  4 Ta 2.83, 4 W 2.83
3 W 0.2500 0.7500 0.5000  4 Br 2.83, 4 W 2.83
4 Ta 0.7500 0.2500 0.5000  4 W 2.83, 4 Br 2.83

A plane-wave DFT calculation with PBE-GGA was carried out for Ta4WBr after structural relaxation.

Output
Calculated total energy ... -9.43 eV/atom

Cell lengths 5.4586, 5.4586, 5.4586 Å; angles 60.00, 60.00, 60.00 degrees
Closest atoms and distances in Å follow each position.
Atoms (fractional coordinates):
1 Ta 0.8721 0.3760 0.3760  6 Ta 2.71-2.75
2 Ta 0.3760 0.3760 0.8721  6 Ta 2.71-2.75
3 Ta 0.3760 0.8721 0.3760  6 Ta 2.71-2.75
4 Ta 0.3760 0.3760 0.3760  6 Ta 2.71-2.75
5 W 0.7500 0.7500 0.7500  12 Ta 3.20, 4 Br 3.34
6 Br 0.0000 0.0000 0.0000  12 Ta 3.20, 4 W 3.34

A plane-wave DFT calculation with PBE-GGA was carried out for TaW2Br after structural relaxation.

Output
Polymorph energy (0 for the lowest one) ... 320 meV per atom

Cell lengths 5.2520, 5.2520, 4.6584 Å; angles 80.09, 80.09, 34.48 degrees
Closest atoms and distances in Å follow each position.
Atoms (fractional coordinates):
1 Br 0.2500 0.2500 0.2500  4 Ta 2.80, 2 W 2.90, 2 Br 3.11
2 W 0.0154 0.0154 0.9650  2 W 2.60, 2 Ta 2.85, 1 Br 2.90
3 W 0.4846 0.4846 0.5350  2 W 2.60, 2 Ta 2.85, 1 Br 2.90
4 Ta 0.7500 0.7500 0.7500  4 Br 2.80, 6 W 2.85-3.01, 2 Ta 3.11

A plane-wave DFT calculation with PBE-GGA was carried out for TaW2Br after structural relaxation.

Output
Polymorph energy (0 for the lowest one) ... 674 meV per atom

Cell lengths 4.6177, 4.6177, 4.6177 Å; angles 60.00, 60.00, 60.00 degrees
Closest atoms and distances in Å follow each position.
Atoms (fractional coordinates):
1 Br 0.0000 0.0000 0.0000  8 W 2.83
2 W 0.2500 0.2500 0.2500  4 Ta 2.83, 4 Br 2.83
3 W 0.7500 0.7500 0.7500  4 Ta 2.83, 4 Br 2.83
4 Ta 0.5000 0.5000 0.5000  8 W 2.83

A plane-wave DFT calculation with PBE-GGA was carried out for TaW2Br after structural relaxation.

Output
Polymorph energy (0 for the lowest one) ... 787 meV per atom

Cell lengths 3.7908, 3.7908, 10.6342 Å; angles 79.73, 79.73, 90.00 degrees
Closest atoms and distances in Å follow each position.
Atoms (fractional coordinates):
1 Br 0.5000 0.5000 0.0000  4 Ta 2.68, 4 W 2.92
2 Br 0.2500 0.7500 0.5000  4 Ta 2.68, 4 W 2.92
3 W 0.6394 0.1250 0.2500  4 W 2.60-2.76, 2 Ta 2.88
4 W 0.1106 0.6250 0.2500  4 W 2.60-2.76, 2 Ta 2.88
5 W 0.3750 0.3606 0.7500  4 W 2.60-2.76, 2 Ta 2.88
6 W 0.8750 0.8894 0.7500  4 W 2.60-2.76, 2 Ta 2.88
7 Ta 0.0000 0.0000 0.0000  4 Br 2.68, 4 W 2.88
8 Ta 0.7500 0.2500 0.5000  4 Br 2.68, 4 W 2.88

A plane-wave DFT calculation with PBE-GGA was carried out for TaW2Br after structural relaxation.

Output
Polymorph energy (0 for the lowest one) ... 229 meV per atom

Cell lengths 9.5445, 9.5445, 9.5445 Å; angles 17.69, 17.69, 17.69 degrees
Closest atoms and distances in Å follow each position.
Atoms (fractional coordinates):
1 Br 0.2500 0.2500 0.2500  6 W 2.83, 6 Br 2.94
2 W 0.9973 0.9973 0.9973  3 Br 2.83, 6 W 2.94, 3 Ta 2.96
3 W 0.5027 0.5027 0.5027  3 Br 2.83, 6 W 2.94, 3 Ta 2.96
4 Ta 0.7500 0.7500 0.7500  6 Ta 2.94, 6 W 2.96

A plane-wave DFT calculation with PBE-GGA was carried out for TaW2Br after structural relaxation.

Output
Polymorph energy (0 for the lowest one) ... 710 meV per atom

Cell lengths 4.7330, 3.8419, 3.8419 Å; angles 90.00, 90.00, 90.00 degrees
Closest atoms and distances in Å follow each position.
Atoms (fractional coordinates):
1 Br 0.5000 0.5000 0.0000  4 Ta 2.72
2 W 0.0000 0.0000 0.0000  4 W 2.72
3 W 0.0000 0.5000 0.5000  4 W 2.72
4 Ta 0.5000 0.0000 0.5000  4 Br 2.72

A plane-wave DFT calculation with PBE-GGA was carried out for TaWBr3 after structural relaxation.

Output
Polymorph energy (0 for the lowest one) ... 246 meV per atom

Cell lengths 5.1661, 5.1661, 5.1661 Å; angles 90.00, 90.00, 90.00 degrees
Closest atoms and distances in Å follow each position.
Atoms (fractional coordinates):
1 Br 0.0000 0.5000 0.0000  2 W 2.58
2 Br 0.0000 0.0000 0.5000  2 W 2.58
3 Br 0.5000 0.0000 0.0000  2 W 2.58
4 W 0.0000 0.0000 0.0000  6 Br 2.58
5 Ta 0.5000 0.5000 0.5000  12 Br 3.65

A plane-wave DFT calculation with PBE-GGA was carried out for TaWBr4 after structural relaxation.

Output
Calculated total energy ... -3.26 eV/atom

Cell lengths 5.8687, 5.8687, 5.8687 Å; angles 60.00, 60.00, 60.00 degrees
Closest atoms and distances in Å follow each position.
Atoms (fractional coordinates):
1 Ta 0.7500 0.7500 0.7500  12 Br 3.44, 4 W 3.59
2 W 0.0000 0.0000 0.0000  12 Br 3.44, 4 Ta 3.59
3 Br 0.8743 0.3752 0.3752  6 Br 2.93-2.94
4 Br 0.3752 0.3752 0.8743  6 Br 2.93-2.94
5 Br 0.3752 0.8743 0.3752  6 Br 2.93-2.94
6 Br 0.3752 0.3752 0.3752  6 Br 2.93-2.94

A plane-wave DFT calculation with PBE-GGA was carried out for TaW2Br after structural relaxation.

Output
Polymorph energy (0 for the lowest one) ... 530 meV per atom

Cell lengths 5.0800, 5.0800, 3.0292 Å; angles 90.00, 90.00, 116.39 degrees
Closest atoms and distances in Å follow each position.
Atoms (fractional coordinates):
1 Br 0.5000 0.0000 0.5000  2 Ta 2.68, 8 W 2.96
2 W 0.0000 0.0000 0.0000  2 W 2.68, 4 Ta 2.96, 4 Br 2.96
3 W 0.5000 0.5000 0.0000  2 W 2.68, 4 Br 2.96, 4 Ta 2.96
4 Ta 0.0000 0.5000 0.5000  2 Br 2.68, 8 W 2.96

A plane-wave DFT calculation with PBE-GGA was carried out for TaWBr3 after structural relaxation.

Output
Polymorph energy (0 for the lowest one) ... 0 meV per atom

Cell lengths 5.1732, 5.1732, 5.1732 Å; angles 90.00, 90.00, 90.00 degrees
Closest atoms and distances in Å follow each position.
Atoms (fractional coordinates):
1 Br 0.0000 0.5000 0.0000  2 Ta 2.59
2 Br 0.0000 0.0000 0.5000  2 Ta 2.59
3 Br 0.5000 0.0000 0.0000  2 Ta 2.59
4 W 0.5000 0.5000 0.5000  12 Br 3.66
5 Ta 0.0000 0.0000 0.0000  6 Br 2.59